# 1
NaCu3Ge: relaxed, GGA-PBE.

## Properties
Polymorph energy (0 for the lowest one) in eV/atom: 0.966
Raw total energy in eV per atom: -2.419
Formation enthalpy at 0 K in eV per atom: 1.23

Cell: 4.5749 4.5749 4.5749 Å, 90.00 90.00 90.00°
With the nearest neighbours (Å) after each atom.
Space group Pm-3m (No. 221)
Inequivalent atoms, fractional coordinates:
Na  0.0000  0.0000  0.0000 (multiplicity 1)  6 Cu 2.29
Cu  0.0000  0.0000  0.5000 (multiplicity 3)  2 Na 2.29
Ge  0.5000  0.5000  0.5000 (multiplicity 1)  12 Cu 3.23

# 2
Na3Cu2Ge4: relaxed, GGA-PBE.

## Properties
Raw total energy in eV per atom: -3.442
Formation enthalpy at 0 K in eV per atom: -0.04

Cell: 11.6092 4.0356 8.5668 Å, 90.00 104.63 90.00°
With the nearest neighbours (Å) after each atom.
Space group C2/m (No. 12)
Inequivalent atoms, fractional coordinates:
Na  0.0000  0.0000  0.0000 (multiplicity 2)  6 Ge 3.16-3.46, 4 Cu 3.53
Na  0.1298  0.5000  0.3855 (multiplicity 4)  5 Ge 2.98-3.13, 1 Cu 3.26
Cu  0.1555  0.5000  0.7829 (multiplicity 4)  5 Ge 2.41-2.59
Ge  0.0802  0.0000  0.6380 (multiplicity 4)  2 Cu 2.41, 1 Ge 2.61
Ge  0.2159  0.5000  0.0861 (multiplicity 4)  3 Cu 2.51-2.59, 2 Ge 2.73

# 3
Na2Cu3Ge5: relaxed, GGA-PBE.

## Properties
Polymorph energy (0 for the lowest one) in eV/atom: 0.000
Raw total energy in eV per atom: -3.840
Formation enthalpy at 0 K in eV per atom: -0.04

Cell: 10.7871 11.7171 5.7866 Å, 90.00 90.00 90.00°
With the nearest neighbours (Å) after each atom.
Space group Ibam (No. 72)
Inequivalent atoms, fractional coordinates:
Na  0.2420  0.1306  0.0000 (multiplicity 8)  10 Ge 3.06-3.39, 4 Cu 3.12-3.29
Cu  0.0000  0.5000  0.2500 (multiplicity 4)  4 Ge 2.51
Cu  0.1298  0.1307  0.5000 (multiplicity 8)  5 Ge 2.41-2.53
Ge  0.0000  0.0000  0.2500 (multiplicity 4)  4 Cu 2.53
Ge  0.0000  0.2597  0.2500 (multiplicity 8)  3 Cu 2.52-2.82, 2 Ge 2.64
Ge  0.1479  0.3901  0.0000 (multiplicity 8)  3 Cu 2.41-2.51, 2 Ge 2.64

# 4
NaCu6Ge6: relaxed, GGA-PBE.

## Properties
Raw total energy in eV per atom: -4.090
Formation enthalpy at 0 K in eV per atom: 0.03

Cell: 5.2467 8.4522 9.0527 Å, 90.00 90.00 90.00°
With the nearest neighbours (Å) after each atom.
Space group Immm (No. 71)
Inequivalent atoms, fractional coordinates:
Na  0.0000  0.0000  0.0000 (multiplicity 2)  8 Ge 2.93-3.03
Cu  0.0000  0.2486  0.5000 (multiplicity 4)  6 Ge 2.58-2.75, 4 Cu 2.62
Cu  0.2500  0.2500  0.2500 (multiplicity 8)  6 Ge 2.60-2.74, 4 Cu 2.62
Ge  0.0000  0.0000  0.3341 (multiplicity 4)  6 Cu 2.58-2.60
Ge  0.0000  0.3472  0.0000 (multiplicity 4)  1 Ge 2.58, 6 Cu 2.74-2.75
Ge  0.0000  0.5000  0.3319 (multiplicity 4)  6 Cu 2.60-2.61

# 5
NaCuGe: relaxed, GGA-PBE.

## Properties
Raw total energy in eV per atom: -3.444
Formation enthalpy at 0 K in eV per atom: -0.10

Cell: 5.9542 5.9638 13.4512 Å, 90.00 90.00 90.00°
With the nearest neighbours (Å) after each atom.
Space group Fmmm (No. 69)
Inequivalent atoms, fractional coordinates:
Na  0.0000  0.0000  0.1689 (multiplicity 8)  4 Cu 3.10, 5 Ge 3.12-3.13
Cu  0.2500  0.2500  0.0000 (multiplicity 8)  4 Ge 2.49
Ge  0.0000  0.0000  0.4007 (multiplicity 8)  4 Cu 2.49, 1 Ge 2.67

# 6
NaCu12Ge6: relaxed, GGA-PBE.

## Properties
Raw total energy in eV per atom: -3.972
Formation enthalpy at 0 K in eV per atom: 0.14

Cell: 10.9075 10.9075 8.4980 Å, 90.00 90.00 120.00°
With the nearest neighbours (Å) after each atom.
Space group R-3m (No. 166, hexagonal axes)
Inequivalent atoms, fractional coordinates:
Na  0.0000  0.0000  0.0000 (multiplicity 3)  6 Cu 2.97
Cu  0.0000  0.3869  0.5000 (multiplicity 18)  4 Ge 2.44-2.52, 3 Cu 2.47-2.63
Cu  0.0818  0.1637  0.2990 (multiplicity 18)  4 Ge 2.52-2.78, 4 Cu 2.63-2.68
Ge  0.0523  0.5262  0.2486 (multiplicity 18)  7 Cu 2.44-2.65

# 7
NaCu3Ge: relaxed, GGA-PBE.

## Properties
Polymorph energy (0 for the lowest one) in eV/atom: 0.000
Raw total energy in eV per atom: -3.384
Formation enthalpy at 0 K in eV per atom: 0.26

Cell: 4.6073 4.6073 4.6073 Å, 90.00 90.00 90.00°
With the nearest neighbours (Å) after each atom.
Space group Pm-3m (No. 221)
Inequivalent atoms, fractional coordinates:
Na  0.0000  0.0000  0.0000 (multiplicity 1)  12 Cu 3.26
Cu  0.0000  0.5000  0.5000 (multiplicity 3)  2 Ge 2.30
Ge  0.5000  0.5000  0.5000 (multiplicity 1)  6 Cu 2.30

# 8
NaCuGe3: relaxed, GGA-PBE.

## Properties
Polymorph energy (0 for the lowest one) in eV/atom: 1.298
Raw total energy in eV per atom: -2.604
Formation enthalpy at 0 K in eV per atom: 1.25

Cell: 4.9881 4.9881 4.9881 Å, 90.00 90.00 90.00°
With the nearest neighbours (Å) after each atom.
Space group Pm-3m (No. 221)
Inequivalent atoms, fractional coordinates:
Na  0.0000  0.0000  0.0000 (multiplicity 1)  6 Ge 2.49
Cu  0.5000  0.5000  0.5000 (multiplicity 1)  12 Ge 3.53
Ge  0.0000  0.0000  0.5000 (multiplicity 3)  2 Na 2.49

# 9
NaCu2Ge: relaxed, GGA-PBE.

## Properties
Raw total energy in eV per atom: -3.340
Formation enthalpy at 0 K in eV per atom: 0.19

Cell: 4.7495 4.7495 16.1823 Å, 90.00 90.00 90.00°
With the nearest neighbours (Å) after each atom.
Space group I4_1/amd (No. 141, origin choice 2)
Inequivalent atoms, fractional coordinates:
Na  0.0000  0.2500  0.3750 (multiplicity 4)  8 Cu 3.34, 4 Ge 3.36
Cu  0.0000  0.0000  0.0000 (multiplicity 8)  2 Ge 2.35, 2 Cu 2.37
Ge  0.0000  0.2500  0.8750 (multiplicity 4)  4 Cu 2.35

# 10
NaCuGe3: relaxed, GGA-PBE.

## Properties
Polymorph energy (0 for the lowest one) in eV/atom: 0.000
Raw total energy in eV per atom: -3.902
Formation enthalpy at 0 K in eV per atom: -0.05

Cell: 4.2617 4.2617 10.7235 Å, 90.00 90.00 90.00°
With the nearest neighbours (Å) after each atom.
Space group I4mm (No. 107)
Inequivalent atoms, fractional coordinates:
Na  0.0000  0.0000  0.0000 (multiplicity 2)  12 Ge 3.23-3.50, 4 Cu 3.27
Cu  0.0000  0.0000  0.3824 (multiplicity 2)  5 Ge 2.42-2.51
Ge  0.0000  0.0000  0.6077 (multiplicity 2)  1 Cu 2.42, 4 Ge 2.68
Ge  0.0000  0.5000  0.2592 (multiplicity 4)  2 Cu 2.51, 2 Ge 2.68

# 11
NaCu3Ge3: relaxed, GGA-PBE.

## Properties
Polymorph energy (0 for the lowest one) in eV/atom: 0.000
Raw total energy in eV per atom: -3.844
Formation enthalpy at 0 K in eV per atom: 0.08

Cell: 6.6093 6.6093 21.4357 Å, 90.00 90.00 120.00°
With the nearest neighbours (Å) after each atom.
Space group R-3 (No. 148, hexagonal axes)
Inequivalent atoms, fractional coordinates:
Na  0.0000  0.0000  0.1753 (multiplicity 6)  3 Cu 3.04, 3 Ge 3.11
Cu  0.0296  0.2354  0.9492 (multiplicity 18)  3 Ge 2.39-2.47, 4 Cu 2.54-2.63
Ge  0.0553  0.4541  0.0592 (multiplicity 18)  3 Cu 2.39-2.47

# 12
Na2CuGe4: relaxed, GGA-PBE.

## Properties
Raw total energy in eV per atom: -3.486
Formation enthalpy at 0 K in eV per atom: 0.11

Cell: 3.9725 22.6793 3.9006 Å, 90.00 90.00 90.00°
With the nearest neighbours (Å) after each atom.
Space group Cmmm (No. 65)
Inequivalent atoms, fractional coordinates:
Na  0.0000  0.1778  0.0000 (multiplicity 4)  4 Ge 3.09-3.16
Cu  0.0000  0.5000  0.5000 (multiplicity 2)  8 Ge 2.51-2.57
Ge  0.0000  0.0680  0.5000 (multiplicity 4)  2 Cu 2.51, 4 Ge 2.79
Ge  0.0000  0.4264  0.0000 (multiplicity 4)  2 Cu 2.57, 4 Ge 2.79